Record 1
Material: UF2
Method: DFT, GGA-PBE
State: relaxed

Lattice parameters (Å, degrees): 6.0327 6.0327 3.0096 90.00 90.00 90.00
Last column: nearest neighbours and their distance in Å.
Sites, in units of the cell vectors:
U  0.0000  0.0000  0.0000  6 F 2.33-2.45
U  0.5000  0.5000  0.5000  6 F 2.33-2.45
F  0.2271  0.2271  0.5000  3 U 2.33-2.45
F  0.2729  0.7271  0.0000  3 U 2.33-2.45
F  0.7271  0.2729  0.0000  3 U 2.33-2.45
F  0.7729  0.7729  0.5000  3 U 2.33-2.45

Total energy = -7.513 eV per atom
Symmetry = No. 136

Record 2
Material: UF5
Method: DFT, GGA-PBE
State: relaxed

Lattice parameters (Å, degrees): 8.3699 8.3699 8.3699 94.79 94.79 146.41
Last column: nearest neighbours and their distance in Å.
Sites, in units of the cell vectors:
U  0.3750  0.2095  0.3345  8 F 2.03-2.26
U  0.7905  0.1250  0.1655  8 F 2.03-2.26
U  0.8750  0.0405  0.6655  8 F 2.03-2.26
U  0.9595  0.6250  0.8345  8 F 2.03-2.26
F  0.0694  0.1385  0.2182  2 U 2.19-2.24
F  0.1157  0.8161  0.3787  1 U 2.03
F  0.1488  0.9306  0.0691  2 U 2.19-2.24
F  0.1544  0.1250  0.5294  2 U 2.26, 4 F 2.51-2.52
F  0.1839  0.5626  0.2995  1 U 2.03
F  0.2630  0.8843  0.7005  1 U 2.03
F  0.3126  0.4339  0.7995  1 U 2.03
F  0.3750  0.8456  0.9706  2 U 2.26, 4 F 2.51-2.52
F  0.4374  0.7370  0.6213  1 U 2.03
F  0.4870  0.6874  0.1213  1 U 2.03
F  0.5661  0.3657  0.8787  1 U 2.03
F  0.5956  0.6250  0.4706  2 U 2.26, 4 F 2.51-2.52
F  0.6012  0.1703  0.2818  2 U 2.19-2.24
F  0.6343  0.5130  0.2005  1 U 2.03
F  0.6806  0.3988  0.5691  2 U 2.19-2.24
F  0.8297  0.1115  0.4309  2 U 2.19-2.24
F  0.8615  0.0797  0.9309  2 U 2.19-2.24
F  0.8750  0.4044  0.0294  2 U 2.26, 4 F 2.51-2.52
F  0.8885  0.3194  0.7182  2 U 2.19-2.24
F  0.9203  0.8512  0.7818  2 U 2.19-2.24

Total energy = -6.839 eV per atom
Symmetry = No. 122

Record 3
Material: UF
Method: DFT, GGA-PBE
State: relaxed

Lattice parameters (Å, degrees): 5.4073 5.4073 5.4073 90.00 90.00 90.00
Last column: nearest neighbours and their distance in Å.
Sites, in units of the cell vectors:
U  0.0000  0.0000  0.0000  4 F 2.34
U  0.0000  0.5000  0.5000  4 F 2.34
U  0.5000  0.0000  0.5000  4 F 2.34
U  0.5000  0.5000  0.0000  4 F 2.34
F  0.2500  0.2500  0.2500  4 U 2.34
F  0.2500  0.7500  0.7500  4 U 2.34
F  0.7500  0.2500  0.7500  4 U 2.34
F  0.7500  0.7500  0.2500  4 U 2.34

Total energy = -7.910 eV per atom
Offset from the most stable computed form = 148 meV per atom
Symmetry = No. 216

Record 4
Material: UF
Method: DFT, GGA-PBE
State: relaxed

Lattice parameters (Å, degrees): 2.9813 2.9813 4.1646 90.00 90.00 120.00
Last column: nearest neighbours and their distance in Å.
Sites, in units of the cell vectors:
U  0.0000  0.0000  0.0000  6 F 2.70, 6 U 2.98
F  0.3333  0.6667  0.5000  6 U 2.70, 6 F 2.98

Total energy = -8.058 eV per atom
Offset from the most stable computed form = 0 meV per atom
Symmetry = No. 187

Record 5
Material: UF
Method: DFT, GGA-PBE
State: relaxed

Lattice parameters (Å, degrees): 5.0325 5.0325 5.0325 90.00 90.00 90.00
Last column: nearest neighbours and their distance in Å.
Sites, in units of the cell vectors:
U  0.0000  0.0000  0.0000  6 F 2.52
U  0.0000  0.5000  0.5000  6 F 2.52
U  0.5000  0.0000  0.5000  6 F 2.52
U  0.5000  0.5000  0.0000  6 F 2.52
F  0.0000  0.0000  0.5000  6 U 2.52
F  0.0000  0.5000  0.0000  6 U 2.52
F  0.5000  0.0000  0.0000  6 U 2.52
F  0.5000  0.5000  0.5000  6 U 2.52

Total energy = -7.924 eV per atom
Offset from the most stable computed form = 134 meV per atom
Symmetry = No. 225

Record 6
Material: UF3
Method: DFT, GGA-PBE
State: relaxed

Lattice parameters (Å, degrees): 7.0478 7.0478 7.2580 90.00 90.00 120.00
Last column: nearest neighbours and their distance in Å.
Sites, in units of the cell vectors:
U  0.0000  0.3273  0.0000  8 F 2.39-2.47
U  0.0000  0.6727  0.5000  8 F 2.39-2.47
U  0.3273  0.0000  0.0000  8 F 2.39-2.47
U  0.3273  0.3273  0.5000  8 F 2.39-2.47
U  0.6727  0.0000  0.5000  8 F 2.39-2.47
U  0.6727  0.6727  0.0000  8 F 2.39-2.47
F  0.0000  0.0000  0.0841  3 U 2.39
F  0.0000  0.0000  0.5841  3 U 2.39
F  0.0000  0.2801  0.3339  3 U 2.45-2.47, 8 F 2.52-2.72
F  0.0000  0.3740  0.6691  2 U 2.42-2.44, 4 F 2.52-2.71
F  0.0000  0.6260  0.1691  2 U 2.42-2.44, 4 F 2.52-2.71
F  0.0000  0.7199  0.8339  3 U 2.45-2.47, 8 F 2.52-2.72
F  0.2801  0.0000  0.3339  3 U 2.45-2.47, 8 F 2.52-2.72
F  0.2801  0.2801  0.8339  3 U 2.45-2.47, 8 F 2.52-2.72
F  0.3333  0.6667  0.4425  3 U 2.41, 3 F 2.68
F  0.3333  0.6667  0.9425  3 U 2.41, 3 F 2.68
F  0.3740  0.0000  0.6691  2 U 2.42-2.44, 4 F 2.52-2.71
F  0.3740  0.3740  0.1691  2 U 2.42-2.44, 4 F 2.52-2.71
F  0.6260  0.0000  0.1691  2 U 2.42-2.44, 4 F 2.52-2.71
F  0.6260  0.6260  0.6691  2 U 2.42-2.44, 4 F 2.52-2.71
F  0.6667  0.3333  0.4425  3 U 2.41, 3 F 2.68
F  0.6667  0.3333  0.9425  3 U 2.41, 3 F 2.68
F  0.7199  0.0000  0.8339  3 U 2.45-2.47, 8 F 2.52-2.72
F  0.7199  0.7199  0.3339  3 U 2.45-2.47, 8 F 2.52-2.72

Total energy = -7.598 eV per atom
Symmetry = No. 185

Record 7
Material: UF2
Method: DFT, GGA-PBE
State: relaxed

Lattice parameters (Å, degrees): 7.1587 7.1587 7.1587 60.00 60.00 60.00
Last column: nearest neighbours and their distance in Å.
Sites, in units of the cell vectors:
U  0.1250  0.1250  0.1250  4 F 2.19
U  0.8750  0.8750  0.8750  4 F 2.19
F  0.0000  0.0000  0.0000  2 U 2.19
F  0.0000  0.0000  0.5000  2 U 2.19
F  0.0000  0.5000  0.0000  2 U 2.19
F  0.5000  0.0000  0.0000  2 U 2.19

Total energy = -7.322 eV per atom
Symmetry = No. 227

Record 8
Material: Zn2F
Method: DFT, GGA-PBE
State: relaxed

Lattice parameters (Å, degrees): 4.9450 4.9450 4.9450 60.00 60.00 60.00
Last column: nearest neighbours and their distance in Å.
Sites, in units of the cell vectors:
Zn  0.0000  0.0000  0.0000  6 Zn 2.47
Zn  0.0000  0.0000  0.5000  6 Zn 2.47
Zn  0.0000  0.5000  0.0000  6 Zn 2.47
Zn  0.5000  0.0000  0.0000  6 Zn 2.47
F  0.3750  0.3750  0.3750  12 Zn 2.90, 4 F 3.03
F  0.6250  0.6250  0.6250  12 Zn 2.90, 4 F 3.03

Total energy = -1.938 eV per atom
Symmetry = No. 227

Record 9
Material: Zn3F2
Method: DFT, GGA-PBE
State: relaxed

Lattice parameters (Å, degrees): 4.3125 4.3125 4.3125 90.00 90.00 90.00
Last column: nearest neighbours and their distance in Å.
Sites, in units of the cell vectors:
Zn  0.0000  0.0000  0.5000  2 F 2.16
Zn  0.0000  0.5000  0.0000  2 F 2.16
Zn  0.5000  0.0000  0.0000  2 F 2.16
F  0.0000  0.0000  0.0000  6 Zn 2.16
F  0.5000  0.5000  0.5000  12 Zn 3.05

Total energy = -1.829 eV per atom
Symmetry = No. 221

Record 10
Material: Zn5F
Method: DFT, GGA-PBE
State: relaxed

Lattice parameters (Å, degrees): 5.0695 5.0695 4.3776 90.00 90.00 120.00
Last column: nearest neighbours and their distance in Å.
Sites, in units of the cell vectors:
Zn  0.0000  0.5000  0.0000  8 Zn 2.53-2.63
Zn  0.3333  0.6667  0.5000  9 Zn 2.63-2.93, 3 F 2.93
Zn  0.5000  0.0000  0.0000  8 Zn 2.53-2.63
Zn  0.5000  0.5000  0.0000  8 Zn 2.53-2.63
Zn  0.6667  0.3333  0.5000  9 Zn 2.63-2.93, 3 F 2.93
F  0.0000  0.0000  0.5000  6 Zn 2.93

Total energy = -1.550 eV per atom
Symmetry = No. 191

Record 11
Material: ZrZnF6
Method: DFT, GGA-PBE
State: relaxed

Lattice parameters (Å, degrees): 5.6403 5.6403 5.6403 60.00 60.00 60.00
Last column: nearest neighbours and their distance in Å.
Sites, in units of the cell vectors:
Zr  0.0000  0.0000  0.0000  6 F 2.01
Zn  0.5000  0.5000  0.5000  6 F 1.98
F  0.2516  0.2516  0.7484  1 Zn 1.98, 1 Zr 2.01
F  0.2516  0.7484  0.2516  1 Zn 1.98, 1 Zr 2.01
F  0.2516  0.7484  0.7484  1 Zn 1.98, 1 Zr 2.01
F  0.7484  0.2516  0.2516  1 Zn 1.98, 1 Zr 2.01
F  0.7484  0.2516  0.7484  1 Zn 1.98, 1 Zr 2.01
F  0.7484  0.7484  0.2516  1 Zn 1.98, 1 Zr 2.01

Total energy = -5.790 eV per atom
Symmetry = No. 225

> What is the formula in the fifth record?

UF

> Among the records above, which one has the lowest total energy?

number 4

> Look up the total energy of the eleventh one.

-5.790 eV per atom

Please write out number 1 again, unchanged.
Material: UF2
Method: DFT, GGA-PBE
State: relaxed

Lattice parameters (Å, degrees): 6.0327 6.0327 3.0096 90.00 90.00 90.00
Last column: nearest neighbours and their distance in Å.
Sites, in units of the cell vectors:
U  0.0000  0.0000  0.0000  6 F 2.33-2.45
U  0.5000  0.5000  0.5000  6 F 2.33-2.45
F  0.2271  0.2271  0.5000  3 U 2.33-2.45
F  0.2729  0.7271  0.0000  3 U 2.33-2.45
F  0.7271  0.2729  0.0000  3 U 2.33-2.45
F  0.7729  0.7729  0.5000  3 U 2.33-2.45

Total energy = -7.513 eV per atom
Symmetry = No. 136